DFT (PBE-GGA) results for an optimized crystal structure of Tb4Al16Ni3.

Calculated values
Space group: No. 123
Formation energy: -11.20 kcal/mol of atoms

Unit cell a=6.0677 b=6.0677 c=11.1155 alpha=90.00 beta=90.00 gamma=90.00
Last column: nearest neighbours and their distance in Å.
Fractional positions:
Tb (0.0000, 0.5000, 0.1911)  12 Al 3.01-3.05
Tb (0.0000, 0.5000, 0.8089)  12 Al 3.01-3.05
Tb (0.5000, 0.0000, 0.1911)  12 Al 3.01-3.05
Tb (0.5000, 0.0000, 0.8089)  12 Al 3.01-3.05
Al (0.0000, 0.0000, 0.1974)  8 Al 2.90-2.94, 4 Tb 3.03
Al (0.0000, 0.0000, 0.8026)  8 Al 2.90-2.94, 4 Tb 3.03
Al (0.2208, 0.2208, 0.0000)  1 Ni 2.40, 2 Al 2.68
Al (0.2208, 0.7792, 0.0000)  1 Ni 2.40, 2 Al 2.68
Al (0.2457, 0.2457, 0.3816)  2 Ni 2.52, 1 Al 2.63
Al (0.2457, 0.2457, 0.6184)  2 Ni 2.52, 1 Al 2.63
Al (0.2457, 0.7543, 0.3816)  2 Ni 2.52, 1 Al 2.63
Al (0.2457, 0.7543, 0.6184)  2 Ni 2.52, 1 Al 2.63
Al (0.5000, 0.5000, 0.2206)  1 Ni 2.45
Al (0.5000, 0.5000, 0.7794)  1 Ni 2.45
Al (0.7543, 0.2457, 0.3816)  2 Ni 2.52, 1 Al 2.63
Al (0.7543, 0.2457, 0.6184)  2 Ni 2.52, 1 Al 2.63
Al (0.7543, 0.7543, 0.3816)  2 Ni 2.52, 1 Al 2.63
Al (0.7543, 0.7543, 0.6184)  2 Ni 2.52, 1 Al 2.63
Al (0.7792, 0.2208, 0.0000)  1 Ni 2.40, 2 Al 2.68
Al (0.7792, 0.7792, 0.0000)  1 Ni 2.40, 2 Al 2.68
Ni (0.0000, 0.5000, 0.5000)  8 Al 2.52
Ni (0.5000, 0.0000, 0.5000)  8 Al 2.52
Ni (0.5000, 0.5000, 0.0000)  6 Al 2.40-2.45